# 1
This record from Alexandria via LeMat-Bulk describes a geometry-optimized NiHRu2W structure. The functional is PBE.

Cell: 3.855 3.855 3.875 Å, 90.00 90.00 90.00°
Element x y z (fractional)
Ni 0.000 0.000 0.000
H 0.500 0.500 0.500
Ru 0.000 0.500 0.500
Ru 0.500 0.000 0.500
W 0.500 0.500 0.000

space group	P4/mmm
crystal system	tetragonal
energy above the lowest structure with this stoichiometry	109	meV/atom
magnetic moment	0.0	μB/cell



# 2
This record from Alexandria via LeMat-Bulk describes a geometry-optimized Ni2HRuW structure. The functional is PBE.

Cell: 3.675 3.675 3.993 Å, 90.00 90.00 90.00°
Element x y z (fractional)
Ni 0.000 0.500 0.000
Ni 0.500 0.000 0.000
H 0.000 0.000 0.000
Ru 0.500 0.500 0.500
W 0.000 0.000 0.500

space group	P4/mmm
crystal system	tetragonal
energy above the lowest structure with this stoichiometry	5	meV/atom
magnetic moment	0.0	μB/cell



# 3
This record from Alexandria via LeMat-Bulk describes a geometry-optimized Y2NiHRu structure. The functional is PBE.

Cell: 4.811 4.811 3.590 Å, 90.00 90.00 90.00°
Element x y z (fractional)
Y 0.000 0.500 0.000
Y 0.500 0.000 0.000
Ni 0.000 0.000 0.500
H 0.500 0.500 0.000
Ru 0.500 0.500 0.500

space group	P4/mmm
crystal system	tetragonal
energy above the lowest structure with this stoichiometry	18	meV/atom
magnetic moment	0.0	μB/cell



# 4
This record from Alexandria via LeMat-Bulk describes a geometry-optimized Y2NiHRu structure. The functional is PBE.

Cell: 4.790 4.790 3.461 Å, 90.00 90.00 90.00°
Element x y z (fractional)
Y 0.000 0.500 0.000
Y 0.500 0.000 0.000
Ni 0.000 0.000 0.500
H 0.000 0.000 0.000
Ru 0.500 0.500 0.500

space group	P4/mmm
crystal system	tetragonal
energy above the lowest structure with this stoichiometry	0	meV/atom
magnetic moment	0.0	μB/cell



# 5
This record from Alexandria via LeMat-Bulk describes a geometry-optimized YNiH2Ru structure. The functional is PBE.

Cell: 3.768 3.768 5.666 Å, 90.00 90.00 90.00°
Element x y z (fractional)
Y 0.000 0.000 0.000
Ni 0.500 0.500 0.500
H 0.000 0.500 0.000
H 0.500 0.000 0.000
Ru 0.000 0.000 0.500

space group	P4/mmm
crystal system	tetragonal
magnetic moment	2.4	μB/cell



# 6
This record from Alexandria via LeMat-Bulk describes a geometry-optimized ZnNiHRu2 structure. The functional is PBE.

Cell: 3.872 3.872 3.698 Å, 90.00 90.00 90.00°
Element x y z (fractional)
Zn 0.000 0.000 0.000
Ni 0.500 0.500 0.000
H 0.500 0.500 0.500
Ru 0.000 0.500 0.500
Ru 0.500 0.000 0.500

space group	P4/mmm
crystal system	tetragonal
magnetic moment	0.0	μB/cell



Going through the records in order, we get final energy values of -40.10 -36.91 -33.25 -33.34 -24.89 -28.35 eV per cell.